Record 1
The following is a DFT calculation (PBE) of a relaxed structure of CoTc2Mo.

## Properties
**Formation enthalpy at 0 K**: 0.121 eV/atom
**Excess energy over the best structure of this formula in the dataset**: 82 meV per atom
**N(E_F)**: 4.94 states/eV/f.u.

Lattice parameters (Å, degrees): 4.6419 4.6419 4.6884 80.37 80.37 34.15
Element x y z (fractional)
Co 0.7500 0.7500 0.7500
Mo 0.2500 0.2500 0.2500
Tc 0.0105 0.0105 0.9828
Tc 0.4895 0.4895 0.5172


Record 2
The following is a DFT calculation (PBE) of a relaxed structure of CoTc2Mo.

## Properties
**Formation enthalpy at 0 K**: 0.063 eV/atom
**Excess energy over the best structure of this formula in the dataset**: 24 meV per atom
**N(E_F)**: 4.62 states/eV/f.u.

Lattice parameters (Å, degrees): 4.6535 4.6535 4.6564 131.41 131.42 71.16
Element x y z (fractional)
Co 0.5001 0.5000 0.0000
Mo 0.2500 0.7499 0.5000
Tc 0.9999 0.0001 0.0000
Tc 0.7500 0.2500 0.5000


Record 3
The following is a DFT calculation (PBE) of a relaxed structure of CoTc2Mo.

## Properties
**Formation enthalpy at 0 K**: 0.102 eV/atom
**Excess energy over the best structure of this formula in the dataset**: 63 meV per atom
**N(E_F)**: 5.12 states/eV/f.u.

Lattice parameters (Å, degrees): 2.7002 2.7002 7.6160 90.00 90.00 90.00
Element x y z (fractional)
Co 0.0000 0.0000 0.4961
Mo 0.5000 0.5000 0.7330
Tc 0.0000 0.0000 0.0087
Tc 0.5000 0.5000 0.2622


Record 4
The following is a DFT calculation (PBE) of a relaxed structure of CoTc2Mo.

## Properties
**Formation enthalpy at 0 K**: 0.166 eV/atom
**Excess energy over the best structure of this formula in the dataset**: 127 meV per atom
**N(E_F)**: 4.10 states/eV/f.u.

Lattice parameters (Å, degrees): 8.9712 8.9712 8.9712 17.40 17.40 17.40
Element x y z (fractional)
Co 0.5009 0.5009 0.5009
Mo 0.7541 0.7541 0.7541
Tc 0.9968 0.9968 0.9968
Tc 0.2481 0.2481 0.2481


Record 5
The following is a DFT calculation (PBE) of a relaxed structure of CoTc2Mo.

## Properties
**Formation enthalpy at 0 K**: 0.213 eV/atom
**Excess energy over the best structure of this formula in the dataset**: 174 meV per atom
**N(E_F)**: 5.38 states/eV/f.u.

Lattice parameters (Å, degrees): 8.9901 8.9901 8.9901 17.34 17.34 17.34
Element x y z (fractional)
Co 0.2500 0.2500 0.2500
Mo 0.7500 0.7500 0.7500
Tc 0.9946 0.9946 0.9946
Tc 0.5054 0.5054 0.5054


Record 6
The following is a DFT calculation (PBE) of a relaxed structure of CoTcMo2.

## Properties
**Formation enthalpy at 0 K**: 0.114 eV/atom
**Excess energy over the best structure of this formula in the dataset**: 18 meV per atom
**N(E_F)**: 4.99 states/eV/f.u.

Lattice parameters (Å, degrees): 4.6725 4.6725 4.6725 130.97 130.86 71.95
Element x y z (fractional)
Co 0.2500 0.7500 0.5000
Mo 0.0000 0.0000 0.0000
Mo 0.5000 0.5000 0.0000
Tc 0.7500 0.2500 0.5000


Record 7
The following is a DFT calculation (PBE) of a relaxed structure of CoTcMo2.

## Properties
**Formation enthalpy at 0 K**: 0.154 eV/atom
**Excess energy over the best structure of this formula in the dataset**: 58 meV per atom
**N(E_F)**: 4.41 states/eV/f.u.

Lattice parameters (Å, degrees): 4.7551 4.7551 4.7551 132.70 132.70 69.13
Element x y z (fractional)
Co 0.7500 0.2500 0.5000
Mo 0.0000 0.0000 0.0000
Mo 0.2500 0.7500 0.5000
Tc 0.5000 0.5000 0.0000


Record 8
The following is a DFT calculation (PBE) of a relaxed structure of CoTcMo2.

## Properties
**Formation enthalpy at 0 K**: 0.164 eV/atom
**Excess energy over the best structure of this formula in the dataset**: 68 meV per atom
**N(E_F)**: 5.33 states/eV/f.u.

Lattice parameters (Å, degrees): 4.2812 2.6471 5.1990 79.09 90.00 90.00
Element x y z (fractional)
Co 0.5000 0.7500 0.7500
Mo 0.0000 0.0187 0.9934
Mo 0.0000 0.4813 0.5066
Tc 0.5000 0.2500 0.2500


Q: Among the records above, which one has the highest formation enthalpy at 0 K?
A: number 5